1.
## Dy3AsI7 (GGA-PBE)

Data for a geometry-optimized Dy3AsI7 structure.

Results
Symmetry   P3m1 (156)
M_tot   0.10 μB/atom
Energy relative to the elements, uncorrected   -1.211 eV per atom
E_tot   -3.87 eV/atom

Unit cell a=7.4394 b=8.8146 c=8.8146 alpha=120.00 beta=90.00 gamma=90.00
Closest atoms and distances in Å follow each position.
Sites, in units of the cell vectors:
Dy 0.7716 0.4956 0.5044  1 As 2.81, 4 I 3.05-3.06
Dy 0.7716 0.4956 0.9912  1 As 2.81, 4 I 3.05-3.06
Dy 0.7716 0.0088 0.5044  1 As 2.81, 4 I 3.05-3.06
As 0.5936 0.3333 0.6667  3 Dy 2.81
I 0.0146 0.1714 0.8286  2 Dy 3.06
I 0.0146 0.1714 0.3428  2 Dy 3.06
I 0.0201 0.6667 0.3333  3 Dy 3.20
I 0.5476 0.8295 0.1705  2 Dy 3.05
I 0.5476 0.3411 0.1705  2 Dy 3.05
I 0.5476 0.8295 0.6589  2 Dy 3.05
I 0.0146 0.6572 0.8286  2 Dy 3.06


2.
## La2DyAs2I2 (GGA-PBE)

Data for a geometry-optimized La2DyAs2I2 structure.

Results
Symmetry   I4/mmm (139)
M_tot   0.14 μB/atom
Energy relative to the elements, uncorrected   -1.241 eV per atom
E_tot   -5.08 eV/atom

Unit cell a=5.4361 b=5.4361 c=9.1675 alpha=107.25 beta=107.25 gamma=90.00
Closest atoms and distances in Å follow each position.
Sites, in units of the cell vectors:
La 0.3998 0.3998 0.7997  4 As 3.19, 1 La 3.33, 1 I 3.47
La 0.6002 0.6002 0.2003  4 As 3.19, 1 La 3.33, 1 I 3.47
Dy 0.0000 0.0000 0.0000  4 As 2.72
As 0.0000 0.5000 0.0000  2 Dy 2.72
As 0.5000 0.0000 0.0000  2 Dy 2.72
I 0.1912 0.1912 0.3825  1 Dy 3.18, 1 La 3.47
I 0.8088 0.8088 0.6175  1 Dy 3.18, 1 La 3.47


3.
## DyAsIO4 (GGA-PBE)

Data for a geometry-optimized DyAsIO4 structure.

Results
Symmetry   C2/m (12)
M_tot   0.00 μB/atom
Energy relative to the elements, uncorrected   -1.871 eV per atom
E_tot   -6.25 eV/atom

Unit cell a=6.7209 b=6.7209 c=6.7927 alpha=79.34 beta=79.34 gamma=56.67
Closest atoms and distances in Å follow each position.
Sites, in units of the cell vectors:
Dy 0.2998 0.2998 0.8279  4 O 2.18-2.32
Dy 0.7002 0.7002 0.1721  4 O 2.18-2.32
As 0.6340 0.6340 0.7413  4 O 1.69-1.75
As 0.3660 0.3660 0.2587  4 O 1.69-1.75
I 0.0337 0.0337 0.3003  1 I 2.66
I 0.9663 0.9663 0.6997  1 I 2.66
O 0.3002 0.3002 0.5056  1 As 1.69
O 0.6998 0.6998 0.4944  1 As 1.69
O 0.1127 0.5241 0.1252  1 As 1.75
O 0.5117 0.5117 0.2271  1 As 1.69
O 0.4759 0.8873 0.8748  1 As 1.75
O 0.5241 0.1127 0.1252  1 As 1.75
O 0.4883 0.4883 0.7729  1 As 1.69
O 0.8873 0.4759 0.8748  1 As 1.75


4.
## Dy2InAs (GGA-PBE)

Data for a geometry-optimized Dy2InAs structure.

Results
Calculated formation energy   -88.4 kJ/mol of atoms
Symmetry   R-3m (166)
M_tot   0.00 μB/atom
E_tot   -5.06 eV/atom

Unit cell a=3.9860 b=3.9860 c=8.2636 alpha=76.04 beta=76.04 gamma=60.00
Closest atoms and distances in Å follow each position.
Sites, in units of the cell vectors:
As 0.0000 0.0000 0.0000  6 Dy 2.85
In 0.5000 0.5000 0.5000  6 Dy 3.25
Dy 0.2628 0.2628 0.2117  3 As 2.85
Dy 0.7372 0.7372 0.7883  3 As 2.85


5.
## DyInAs (GGA-PBE)

Data for a geometry-optimized DyInAs structure.

Results
Calculated formation energy   -64.0 kJ/mol of atoms
Symmetry   R-3m (166)
M_tot   0.00 μB/atom
E_tot   -4.66 eV/atom

Unit cell a=4.9084 b=4.9084 c=8.7568 alpha=73.72 beta=73.72 gamma=60.00
Closest atoms and distances in Å follow each position.
Sites, in units of the cell vectors:
As 0.2834 0.2834 0.1498  1 In 2.76, 4 Dy 2.84-2.86
As 0.7166 0.7166 0.8502  1 In 2.76, 4 Dy 2.84-2.86
In 0.1725 0.1725 0.4825  1 As 2.76, 3 In 2.85
In 0.8275 0.8275 0.5175  1 As 2.76, 3 In 2.85
Dy 0.3974 0.3974 0.8077  4 As 2.84-2.86
Dy 0.6026 0.6026 0.1923  4 As 2.84-2.86


6.
## DyIn2As2Pd7 (GGA-PBE)

Data for a geometry-optimized DyIn2As2Pd7 structure.

Results
Calculated formation energy   -48.2 kJ/mol of atoms
Symmetry   C2/m (12)
M_tot   0.00 μB/atom
E_tot   -5.14 eV/atom

Unit cell a=4.0024 b=4.0024 c=14.7739 alpha=85.24 beta=85.24 gamma=90.06
Closest atoms and distances in Å follow each position.
Sites, in units of the cell vectors:
Dy 0.0000 0.0000 0.0000  12 Pd 2.83-2.96
In 0.8839 0.8839 0.4060  5 Pd 2.80-2.88
In 0.1161 0.1161 0.5940  5 Pd 2.80-2.88
As 0.5787 0.5787 0.7516  5 Pd 2.47-2.49
As 0.4213 0.4213 0.2484  5 Pd 2.47-2.49
Pd 0.5000 0.5000 0.0000  4 Dy 2.83, 8 Pd 2.95-2.96
Pd 0.3867 0.3867 0.4165  1 As 2.47
Pd 0.6133 0.6133 0.5835  1 As 2.47
Pd 0.9526 0.4536 0.1480  2 As 2.48-2.49
Pd 0.4536 0.9526 0.1480  2 As 2.48-2.49
Pd 0.5464 0.0474 0.8520  2 As 2.48-2.49
Pd 0.0474 0.5464 0.8520  2 As 2.48-2.49